Record 1
# NaCoP2Ir, relaxed, DFT PBE
data_NaCoP2Ir
_symmetry_space_group_name_H-M 'P 1'
_symmetry_Int_Tables_number 1
_symmetry_space_group_name_Hall 'P 1'
_cell_length_a 5.6005
_cell_length_b 5.6005
_cell_length_c 5.6005
_cell_angle_alpha 139.19
_cell_angle_beta 139.19
_cell_angle_gamma 59.09
loop_
_atom_site_label
_atom_site_type_symbol
_atom_site_fract_x
_atom_site_fract_y
_atom_site_fract_z
_atom_site_occupancy
Na1 Na 0.0000 0.0000 0.0000 1
Co1 Co 0.7500 0.2500 0.5000 1
P1 P 0.3770 0.3770 0.0000 1
P2 P 0.6230 0.6230 0.0000 1
Ir1 Ir 0.2500 0.7500 0.5000 1
# VASP energy ... -6.142 eV/atom
# Calculated volume ... 14.86 Å³ per atom
# Crystal system ... tetragonal
# Energy of formation from the pure elements ... -0.52 eV/atom



Record 2
# NaCo2ReIr, relaxed, DFT PBE
data_NaCo2ReIr
_symmetry_space_group_name_H-M 'P 1'
_symmetry_Int_Tables_number 1
_symmetry_space_group_name_Hall 'P 1'
_cell_length_a 4.3746
_cell_length_b 4.3746
_cell_length_c 4.9030
_cell_angle_alpha 90.00
_cell_angle_beta 90.00
_cell_angle_gamma 90.00
loop_
_atom_site_label
_atom_site_type_symbol
_atom_site_fract_x
_atom_site_fract_y
_atom_site_fract_z
_atom_site_occupancy
Na1 Na 0.0000 0.0000 0.0000 1
Co1 Co 0.0000 0.5000 0.5000 1
Co2 Co 0.5000 0.0000 0.5000 1
Re1 Re 0.0000 0.0000 0.5000 1
Ir1 Ir 0.5000 0.5000 0.0000 1
# VASP energy ... -5.305 eV/atom
# Calculated volume ... 18.77 Å³ per atom
# Crystal system ... tetragonal
# Energy of formation from the pure elements ... 2.06 eV/atom